[1]
# NbCu2PdS4, optimized geometry, DFT PBE-GGA
data_NbCu2PdS4
_cell_length_a 6.605
_cell_length_b 6.602
_cell_length_c 5.405
_cell_angle_alpha 65.87
_cell_angle_beta 65.82
_cell_angle_gamma 48.31
_symmetry_space_group_name_H-M 'P 1'
_symmetry_Int_Tables_number 1
loop_
_symmetry_equiv_pos_as_xyz
'x,y,z'
loop_
_atom_site_label
_atom_site_type_symbol
_atom_site_fract_x
_atom_site_fract_y
_atom_site_fract_z
Nb1 Nb 0.000 0.000 0.000
Cu1 Cu 0.250 0.250 0.250
Cu2 Cu 0.750 0.750 0.750
Pd1 Pd 0.500 0.500 0.500
S1 S 0.112 0.626 0.888
S2 S 0.374 0.888 0.112
S3 S 0.626 0.112 0.374
S4 S 0.888 0.374 0.626
# Formation energy without anion corrections   -0.44 eV/atom
# Total energy   -5.438 eV per atom

---

[2]
# RbNpTeO6, optimized geometry, DFT PBE-GGA
data_RbNpTeO6
_cell_length_a 5.890
_cell_length_b 5.984
_cell_length_c 6.016
_cell_angle_alpha 89.64
_cell_angle_beta 62.27
_cell_angle_gamma 89.99
_symmetry_space_group_name_H-M 'P 1'
_symmetry_Int_Tables_number 1
loop_
_symmetry_equiv_pos_as_xyz
'x,y,z'
loop_
_atom_site_label
_atom_site_type_symbol
_atom_site_fract_x
_atom_site_fract_y
_atom_site_fract_z
Rb1 Rb 0.000 0.000 0.000
Np1 Np 0.330 0.494 0.325
Te1 Te 0.673 0.486 0.612
O1 O 0.090 0.679 0.574
O2 O 0.348 0.683 0.059
O3 O 0.392 0.311 0.605
O4 O 0.540 0.292 0.080
O5 O 0.658 0.671 0.356
O6 O 0.961 0.305 0.398
# Formation energy without anion corrections   -1.94 eV/atom
# Total energy   -7.143 eV per atom

---

[3]
# Ac2Tb3Tl2, optimized geometry, DFT PBE-GGA
data_Ac2Tb3Tl2
_cell_length_a 12.779
_cell_length_b 4.799
_cell_length_c 8.578
_cell_angle_alpha 90.00
_cell_angle_beta 111.91
_cell_angle_gamma 90.00
_symmetry_space_group_name_H-M 'P 1'
_symmetry_Int_Tables_number 1
loop_
_symmetry_equiv_pos_as_xyz
'x,y,z'
loop_
_atom_site_label
_atom_site_type_symbol
_atom_site_fract_x
_atom_site_fract_y
_atom_site_fract_z
Ac1 Ac 0.140 0.000 0.288
Ac2 Ac 0.360 0.500 0.712
Ac3 Ac 0.640 0.500 0.288
Ac4 Ac 0.860 0.000 0.712
Tb1 Tb 0.000 0.500 0.500
Tb2 Tb 0.127 0.500 0.942
Tb3 Tb 0.373 0.000 0.058
Tb4 Tb 0.500 0.000 0.500
Tb5 Tb 0.627 0.000 0.942
Tb6 Tb 0.873 0.500 0.058
Tl1 Tl 0.156 0.000 0.716
Tl2 Tl 0.344 0.500 0.284
Tl3 Tl 0.656 0.500 0.716
Tl4 Tl 0.844 0.000 0.284
# Total energy   -3.997 eV per atom

---

[4]
# CuIrAu, optimized geometry, DFT PBE-GGA
data_CuIrAu
_cell_length_a 2.761
_cell_length_b 2.761
_cell_length_c 11.735
_cell_angle_alpha 90.00
_cell_angle_beta 90.00
_cell_angle_gamma 90.00
_symmetry_space_group_name_H-M 'P 1'
_symmetry_Int_Tables_number 1
loop_
_symmetry_equiv_pos_as_xyz
'x,y,z'
loop_
_atom_site_label
_atom_site_type_symbol
_atom_site_fract_x
_atom_site_fract_y
_atom_site_fract_z
Cu1 Cu 0.000 0.000 0.000
Cu2 Cu 0.500 0.500 0.500
Ir1 Ir 0.000 0.000 0.350
Ir2 Ir 0.500 0.500 0.850
Au1 Au 0.000 0.000 0.667
Au2 Au 0.500 0.500 0.167
# Total energy   -5.171 eV per atom

---

[5]
# Rb2GaHg6Pb, optimized geometry, DFT PBE-GGA
data_Rb2GaHg6Pb
_cell_length_a 8.145
_cell_length_b 8.145
_cell_length_c 8.142
_cell_angle_alpha 119.35
_cell_angle_beta 119.35
_cell_angle_gamma 91.02
_symmetry_space_group_name_H-M 'P 1'
_symmetry_Int_Tables_number 1
loop_
_symmetry_equiv_pos_as_xyz
'x,y,z'
loop_
_atom_site_label
_atom_site_type_symbol
_atom_site_fract_x
_atom_site_fract_y
_atom_site_fract_z
Rb1 Rb 0.250 0.750 0.000
Rb2 Rb 0.750 0.250 0.000
Ga1 Ga 0.000 0.000 0.500
Hg1 Hg 0.237 0.237 0.500
Hg2 Hg 0.237 0.237 0.975
Hg3 Hg 0.237 0.763 0.500
Hg4 Hg 0.763 0.237 0.500
Hg5 Hg 0.763 0.763 0.025
Hg6 Hg 0.763 0.763 0.500
Pb1 Pb 0.500 0.500 0.500
# Total energy   -1.124 eV per atom

---

[6]
# TbRuPb2O6, optimized geometry, DFT PBE-GGA
data_TbRuPb2O6
_cell_length_a 5.863
_cell_length_b 5.897
_cell_length_c 10.136
_cell_angle_alpha 90.00
_cell_angle_beta 125.02
_cell_angle_gamma 90.00
_symmetry_space_group_name_H-M 'P 1'
_symmetry_Int_Tables_number 1
loop_
_symmetry_equiv_pos_as_xyz
'x,y,z'
loop_
_atom_site_label
_atom_site_type_symbol
_atom_site_fract_x
_atom_site_fract_y
_atom_site_fract_z
Tb1 Tb 0.000 0.000 0.000
Tb2 Tb 0.000 0.500 0.500
Ru1 Ru 0.500 0.000 0.500
Ru2 Ru 0.500 0.500 0.000
Pb1 Pb 0.260 0.031 0.752
Pb2 Pb 0.260 0.469 0.252
Pb3 Pb 0.740 0.531 0.748
Pb4 Pb 0.740 0.969 0.248
O1 O 0.189 0.018 0.268
O2 O 0.189 0.482 0.768
O3 O 0.274 0.698 0.043
O4 O 0.274 0.802 0.543
O5 O 0.349 0.228 0.041
O6 O 0.349 0.272 0.541
O7 O 0.651 0.728 0.459
O8 O 0.651 0.772 0.959
O9 O 0.726 0.198 0.457
O10 O 0.726 0.302 0.957
O11 O 0.811 0.518 0.232
O12 O 0.811 0.982 0.732
# Formation energy without anion corrections   -1.64 eV/atom
# Total energy   -6.743 eV per atom

---

[7]
# Hf3InAu, optimized geometry, DFT PBE-GGA
data_Hf3InAu
_cell_length_a 5.116
_cell_length_b 5.116
_cell_length_c 5.116
_cell_angle_alpha 90.00
_cell_angle_beta 90.00
_cell_angle_gamma 90.00
_symmetry_space_group_name_H-M 'P 1'
_symmetry_Int_Tables_number 1
loop_
_symmetry_equiv_pos_as_xyz
'x,y,z'
loop_
_atom_site_label
_atom_site_type_symbol
_atom_site_fract_x
_atom_site_fract_y
_atom_site_fract_z
Hf1 Hf 0.000 0.000 0.500
Hf2 Hf 0.000 0.500 0.000
Hf3 Hf 0.500 0.000 0.000
In1 In 0.500 0.500 0.500
Au1 Au 0.000 0.000 0.000
# Total energy   -6.676 eV per atom

---

[8]
# NaCa2Bi3S6, optimized geometry, DFT PBE-GGA
data_NaCa2Bi3S6
_cell_length_a 8.991
_cell_length_b 8.991
_cell_length_c 8.950
_cell_angle_alpha 100.22
_cell_angle_beta 100.22
_cell_angle_gamma 25.13
_symmetry_space_group_name_H-M 'P 1'
_symmetry_Int_Tables_number 1
loop_
_symmetry_equiv_pos_as_xyz
'x,y,z'
loop_
_atom_site_label
_atom_site_type_symbol
_atom_site_fract_x
_atom_site_fract_y
_atom_site_fract_z
Na1 Na 0.000 0.000 0.000
Ca1 Ca 0.330 0.330 0.671
Ca2 Ca 0.670 0.670 0.329
Bi1 Bi 0.000 0.000 0.500
Bi2 Bi 0.333 0.333 0.171
Bi3 Bi 0.667 0.667 0.829
S1 S 0.163 0.163 0.551
S2 S 0.178 0.178 0.102
S3 S 0.497 0.497 0.734
S4 S 0.503 0.503 0.266
S5 S 0.822 0.822 0.898
S6 S 0.837 0.837 0.449
# Formation energy without anion corrections   -0.90 eV/atom
# Total energy   -4.377 eV per atom

---

[9]
# Be2PSe, optimized geometry, DFT PBE-GGA
data_Be2PSe
_cell_length_a 6.731
_cell_length_b 3.042
_cell_length_c 6.183
_cell_angle_alpha 90.00
_cell_angle_beta 90.38
_cell_angle_gamma 90.00
_symmetry_space_group_name_H-M 'P 1'
_symmetry_Int_Tables_number 1
loop_
_symmetry_equiv_pos_as_xyz
'x,y,z'
loop_
_atom_site_label
_atom_site_type_symbol
_atom_site_fract_x
_atom_site_fract_y
_atom_site_fract_z
Be1 Be 0.000 0.000 0.000
Be2 Be 0.197 0.500 0.524
Be3 Be 0.500 0.500 0.000
Be4 Be 0.697 0.000 0.524
P1 P 0.207 0.500 0.867
P2 P 0.707 0.000 0.867
Se1 Se 0.498 0.500 0.366
Se2 Se 0.998 0.000 0.366
# Formation energy without anion corrections   -0.33 eV/atom
# Total energy   -4.418 eV per atom

---

[10]
# La3NCl2, optimized geometry, DFT PBE-GGA
data_La3NCl2
_cell_length_a 6.937
_cell_length_b 6.937
_cell_length_c 6.620
_cell_angle_alpha 99.47
_cell_angle_beta 99.47
_cell_angle_gamma 115.12
_symmetry_space_group_name_H-M 'P 1'
_symmetry_Int_Tables_number 1
loop_
_symmetry_equiv_pos_as_xyz
'x,y,z'
loop_
_atom_site_label
_atom_site_type_symbol
_atom_site_fract_x
_atom_site_fract_y
_atom_site_fract_z
La1 La 0.000 0.500 0.000
La2 La 0.119 0.270 0.498
La3 La 0.270 0.119 0.998
La4 La 0.500 0.000 0.500
La5 La 0.730 0.881 0.002
La6 La 0.881 0.730 0.502
N1 N 0.083 0.917 0.250
N2 N 0.917 0.083 0.750
Cl1 Cl 0.268 0.732 0.750
Cl2 Cl 0.426 0.574 0.250
Cl3 Cl 0.574 0.426 0.750
Cl4 Cl 0.732 0.268 0.250
# Formation energy without anion corrections   -1.50 eV/atom
# Total energy   -5.962 eV per atom

---

[11]
# Nd2SmErTm, optimized geometry, DFT PBE-GGA
data_Nd2SmErTm
_cell_length_a 8.151
_cell_length_b 6.775
_cell_length_c 6.161
_cell_angle_alpha 90.00
_cell_angle_beta 90.07
_cell_angle_gamma 90.00
_symmetry_space_group_name_H-M 'P 1'
_symmetry_Int_Tables_number 1
loop_
_symmetry_equiv_pos_as_xyz
'x,y,z'
loop_
_atom_site_label
_atom_site_type_symbol
_atom_site_fract_x
_atom_site_fract_y
_atom_site_fract_z
Nd1 Nd 0.196 0.191 0.250
Nd2 Nd 0.196 0.809 0.750
Nd3 Nd 0.804 0.191 0.250
Nd4 Nd 0.804 0.809 0.750
Sm1 Sm 0.500 0.500 0.000
Sm2 Sm 0.500 0.500 0.500
Er1 Er 0.000 0.344 0.750
Er2 Er 0.000 0.656 0.250
Tm1 Tm 0.500 0.084 0.750
Tm2 Tm 0.500 0.916 0.250
# Total energy   -4.385 eV per atom